Material: LaYAsO2
Method: DFT, PBE
State: relaxed

a b c (Å): 5.517 5.525 7.157
angles (deg): 112.70 90.00 90.00
Element x y z (fractional)
Y: 0.250 0.916 0.832
Y: 0.750 0.084 0.168
O: 0.000 0.245 0.000
O: 0.500 0.755 0.000
O: 0.500 0.245 0.000
O: 0.000 0.755 0.000
La: 0.250 0.598 0.196
La: 0.750 0.402 0.804
As: 0.250 0.250 0.501
As: 0.750 0.750 0.499

Values from the calculation:
Spin magnetization ... 0.000 μB/atom
Density ... 5.524 g/cm3
Raw formation energy ... -2.667 eV per atom